Entry 1:
{
  "formula": "K2EuTa5O15",
  "functional": "GGA-PBEsol",
  "state": "optimized geometry",
  "raw_formation_energy_kj_per_mol_atoms": -273.9,
  "magmom_total_mub_per_fu": 5.98,
  "cell": [[3.913, 0.000, 0.000], [0.000, 12.574, 0.000], [0.000, 0.000, 12.574]],
  "species": ["K", "K", "K", "K", "Eu", "Eu", "Ta", "Ta", "Ta", "Ta", "Ta", "Ta", "Ta", "Ta", "Ta", "Ta", "O", "O", "O", "O", "O", "O", "O", "O", "O", "O", "O", "O", "O", "O", "O", "O", "O", "O", "O", "O", "O", "O", "O", "O", "O", "O", "O", "O", "O", "O"],
  "fractional_positions": [[0.000, 0.169, 0.331], [0.000, 0.669, 0.169], [0.000, 0.331, 0.831], [0.000, 0.831, 0.669], [0.000, 0.000, 0.000], [0.000, 0.500, 0.500], [0.500, 0.077, 0.787], [0.500, 0.213, 0.077], [0.500, 0.000, 0.500], [0.500, 0.287, 0.577], [0.500, 0.713, 0.423], [0.500, 0.787, 0.923], [0.500, 0.577, 0.713], [0.500, 0.423, 0.287], [0.500, 0.923, 0.213], [0.500, 0.500, 0.000], [0.500, 0.002, 0.342], [0.000, 0.692, 0.422], [0.500, 0.283, 0.217], [0.500, 0.867, 0.061], [0.500, 0.217, 0.717], [0.000, 0.192, 0.078], [0.000, 0.422, 0.308], [0.500, 0.133, 0.939], [0.000, 0.808, 0.922], [0.500, 0.633, 0.561], [0.500, 0.717, 0.783], [0.500, 0.367, 0.439], [0.500, 0.158, 0.498], [0.500, 0.342, 0.998], [0.000, 0.078, 0.808], [0.500, 0.783, 0.283], [0.500, 0.842, 0.502], [0.000, 0.922, 0.192], [0.500, 0.658, 0.002], [0.500, 0.939, 0.867], [0.500, 0.061, 0.133], [0.500, 0.998, 0.658], [0.500, 0.498, 0.842], [0.000, 0.578, 0.692], [0.500, 0.561, 0.367], [0.500, 0.439, 0.633], [0.000, 0.500, 0.000], [0.000, 0.308, 0.578], [0.500, 0.502, 0.158], [0.000, 0.000, 0.500]]
}

---

Entry 2:
{
  "formula": "K4EuP2S8",
  "functional": "GGA-PBEsol",
  "state": "optimized geometry",
  "raw_formation_energy_kj_per_mol_atoms": -105.3,
  "magmom_total_mub_per_fu": 7.00,
  "cell": [[8.687, 0.000, 0.000], [0.000, 9.625, 0.000], [4.344, 4.812, 8.984]],
  "species": ["K", "K", "K", "K", "K", "K", "K", "K", "Eu", "Eu", "P", "P", "P", "P", "S", "S", "S", "S", "S", "S", "S", "S", "S", "S", "S", "S", "S", "S", "S", "S"],
  "fractional_positions": [[0.203, 0.083, 0.833], [0.260, 0.510, 0.479], [0.797, 0.917, 0.167], [0.740, 0.990, 0.521], [0.037, 0.417, 0.167], [0.740, 0.490, 0.521], [0.260, 0.010, 0.479], [0.963, 0.583, 0.833], [0.500, 0.750, 0.000], [0.500, 0.250, 0.000], [0.169, 0.873, 0.254], [0.831, 0.127, 0.746], [0.576, 0.373, 0.254], [0.424, 0.627, 0.746], [0.633, 0.604, 0.792], [0.717, 0.251, 0.154], [0.128, 0.095, 0.154], [0.717, 0.595, 0.154], [0.872, 0.905, 0.846], [0.367, 0.396, 0.208], [0.490, 0.738, 0.523], [0.575, 0.104, 0.792], [0.283, 0.405, 0.846], [0.987, 0.238, 0.523], [0.128, 0.751, 0.154], [0.425, 0.896, 0.208], [0.872, 0.249, 0.846], [0.283, 0.749, 0.846], [0.510, 0.262, 0.477], [0.013, 0.762, 0.477]]
}

---

Entry 3:
{
  "formula": "K4EuP2Se8",
  "functional": "GGA-PBEsol",
  "state": "optimized geometry",
  "raw_formation_energy_kj_per_mol_atoms": -88.1,
  "magmom_total_mub_per_fu": 7.00,
  "cell": [[9.050, 0.000, 0.000], [0.000, 10.132, 0.000], [4.525, 5.066, 9.359]],
  "species": ["K", "K", "K", "K", "K", "K", "K", "K", "Eu", "Eu", "P", "P", "P", "P", "Se", "Se", "Se", "Se", "Se", "Se", "Se", "Se", "Se", "Se", "Se", "Se", "Se", "Se", "Se", "Se"],
  "fractional_positions": [[0.475, 0.585, 0.830], [0.525, 0.415, 0.170], [0.304, 0.915, 0.170], [0.696, 0.085, 0.830], [0.236, 0.486, 0.529], [0.764, 0.014, 0.471], [0.764, 0.514, 0.471], [0.236, 0.986, 0.529], [0.000, 0.250, 0.000], [0.000, 0.750, 0.000], [0.332, 0.128, 0.744], [0.668, 0.872, 0.256], [0.075, 0.372, 0.256], [0.925, 0.628, 0.744], [0.369, 0.251, 0.852], [0.631, 0.103, 0.148], [0.221, 0.249, 0.148], [0.779, 0.397, 0.852], [0.631, 0.749, 0.148], [0.369, 0.897, 0.852], [0.779, 0.751, 0.852], [0.221, 0.603, 0.148], [0.141, 0.603, 0.794], [0.859, 0.397, 0.206], [0.935, 0.897, 0.206], [0.065, 0.103, 0.794], [0.498, 0.757, 0.487], [0.502, 0.243, 0.513], [0.985, 0.743, 0.513], [0.015, 0.257, 0.487]]
}

---

Entry 4:
{
  "formula": "KEuS2",
  "functional": "GGA-PBEsol",
  "state": "optimized geometry",
  "raw_formation_energy_kj_per_mol_atoms": -155.9,
  "magmom_total_mub_per_fu": 6.00,
  "cell": [[-2.562, 0.874, 3.096], [-4.053, 0.181, -0.674], [-2.770, -6.674, 2.322]],
  "species": ["Eu", "K", "S", "S"],
  "fractional_positions": [[0.500, 0.500, 0.500], [0.000, 0.000, 0.000], [0.765, 0.765, 0.705], [0.235, 0.235, 0.295]]
}

---

Entry 5:
{
  "formula": "LaEuPd6",
  "functional": "GGA-PBEsol",
  "state": "optimized geometry",
  "ef_ev_per_atom": -0.6649,
  "magmom_total_mub_per_fu": 6.51,
  "cell": [[4.126, 0.000, 0.000], [0.000, 4.126, 0.000], [0.000, 0.000, 8.239]],
  "species": ["La", "Eu", "Pd", "Pd", "Pd", "Pd", "Pd", "Pd"],
  "fractional_positions": [[0.000, 0.000, 0.500], [0.000, 0.000, 0.000], [0.500, 0.500, 0.000], [0.500, 0.500, 0.500], [0.500, 0.000, 0.249], [0.500, 0.000, 0.751], [0.000, 0.500, 0.249], [0.000, 0.500, 0.751]]
}

---

Entry 6:
{
  "formula": "La2EuS4",
  "functional": "GGA-PBEsol",
  "state": "optimized geometry",
  "raw_formation_energy_kj_per_mol_atoms": -218.1,
  "magmom_total_mub_per_fu": 7.00,
  "cell": [[7.437, 0.011, 0.000], [-2.518, 6.998, 0.000], [-2.459, -3.505, 6.081]],
  "species": ["La", "La", "La", "La", "Eu", "Eu", "S", "S", "S", "S", "S", "S", "S", "S"],
  "fractional_positions": [[0.625, 0.247, 0.122], [0.753, 0.875, 0.378], [0.125, 0.503, 0.878], [0.497, 0.375, 0.622], [0.000, 0.000, 0.000], [0.250, 0.750, 0.500], [0.526, 0.776, 0.902], [0.026, 0.276, 0.402], [0.224, 0.126, 0.750], [0.874, 0.624, 0.598], [0.376, 0.974, 0.250], [0.724, 0.126, 0.750], [0.376, 0.474, 0.250], [0.874, 0.624, 0.098]]
}

---

Entry 7:
{
  "formula": "LaEuZn2",
  "functional": "GGA-PBEsol",
  "state": "optimized geometry",
  "ef_ev_per_atom": -0.2724,
  "magmom_total_mub_per_fu": 7.23,
  "cell": [[5.194, 0.000, 0.000], [2.597, 4.498, 0.000], [2.597, 1.499, 4.241]],
  "species": ["Eu", "Zn", "Zn", "La"],
  "fractional_positions": [[0.500, 0.500, 0.500], [0.750, 0.750, 0.750], [0.250, 0.250, 0.250], [0.000, 0.000, 0.000]]
}

---

Entry 8:
{
  "formula": "Li2EuSiO4",
  "functional": "GGA-PBEsol",
  "state": "optimized geometry",
  "raw_formation_energy_kj_per_mol_atoms": -257.9,
  "magmom_total_mub_per_fu": 7.00,
  "cell": [[4.982, 0.000, 0.000], [-2.491, 4.315, 0.000], [0.000, 0.000, 12.360]],
  "species": ["Li", "Li", "Li", "Li", "Li", "Li", "Eu", "Eu", "Eu", "Si", "Si", "Si", "O", "O", "O", "O", "O", "O", "O", "O", "O", "O", "O", "O"],
  "fractional_positions": [[0.595, 0.668, 0.921], [0.073, 0.405, 0.587], [0.332, 0.927, 0.254], [0.668, 0.595, 0.413], [0.405, 0.073, 0.746], [0.927, 0.332, 0.079], [0.000, 0.421, 0.833], [0.579, 0.579, 0.167], [0.421, 0.000, 0.500], [0.279, 0.000, 0.000], [0.000, 0.279, 0.333], [0.721, 0.721, 0.667], [0.759, 0.070, 0.671], [0.930, 0.688, 0.004], [0.455, 0.965, 0.892], [0.312, 0.241, 0.337], [0.688, 0.930, 0.329], [0.070, 0.759, 0.663], [0.965, 0.455, 0.441], [0.510, 0.545, 0.559], [0.035, 0.490, 0.226], [0.490, 0.035, 0.108], [0.545, 0.510, 0.774], [0.241, 0.312, 0.996]]
}

---

Entry 9:
{
  "formula": "LiEuTiO4",
  "functional": "GGA-PBEsol",
  "state": "optimized geometry",
  "raw_formation_energy_kj_per_mol_atoms": -273.9,
  "magmom_total_mub_per_fu": 6.00,
  "cell": [[5.250, 0.000, 0.000], [0.000, 5.307, 0.000], [0.000, 0.000, 11.705]],
  "species": ["Li", "Li", "Li", "Li", "Eu", "Eu", "Eu", "Eu", "Ti", "Ti", "Ti", "Ti", "O", "O", "O", "O", "O", "O", "O", "O", "O", "O", "O", "O", "O", "O", "O", "O"],
  "fractional_positions": [[0.500, 0.750, 0.491], [0.000, 0.750, 0.491], [0.000, 0.250, 0.509], [0.500, 0.250, 0.509], [0.750, 0.983, 0.116], [0.250, 0.017, 0.884], [0.250, 0.517, 0.116], [0.750, 0.483, 0.884], [0.750, 0.994, 0.712], [0.250, 0.506, 0.712], [0.250, 0.006, 0.288], [0.750, 0.494, 0.288], [0.000, 0.250, 0.741], [0.500, 0.250, 0.239], [0.000, 0.250, 0.239], [0.750, 0.543, 0.075], [0.250, 0.957, 0.075], [0.750, 0.983, 0.560], [0.500, 0.250, 0.741], [0.500, 0.750, 0.259], [0.250, 0.457, 0.925], [0.750, 0.483, 0.440], [0.500, 0.750, 0.761], [0.250, 0.017, 0.440], [0.000, 0.750, 0.761], [0.750, 0.043, 0.925], [0.000, 0.750, 0.259], [0.250, 0.517, 0.560]]
}

---

Entry 10:
{
  "formula": "LiEuP",
  "functional": "GGA-PBEsol",
  "state": "optimized geometry",
  "ef_ev_per_atom": -1.0431,
  "magmom_total_mub_per_fu": 7.00,
  "cell": [[4.259, 0.000, 0.000], [0.000, 7.123, 0.000], [0.000, 0.000, 7.620]],
  "species": ["Eu", "Eu", "Eu", "Eu", "P", "P", "P", "P", "Li", "Li", "Li", "Li"],
  "fractional_positions": [[0.250, 0.510, 0.296], [0.250, 0.010, 0.204], [0.750, 0.490, 0.704], [0.750, 0.990, 0.796], [0.250, 0.274, 0.903], [0.750, 0.726, 0.097], [0.250, 0.774, 0.597], [0.750, 0.226, 0.403], [0.250, 0.158, 0.572], [0.750, 0.842, 0.428], [0.750, 0.342, 0.072], [0.250, 0.658, 0.928]]
}

---

Entry 11:
{
  "formula": "LiEuS2",
  "functional": "GGA-PBEsol",
  "state": "optimized geometry",
  "raw_formation_energy_kj_per_mol_atoms": -148.7,
  "magmom_total_mub_per_fu": 5.99,
  "cell": [[-1.599, 0.558, -3.562], [-2.292, -3.165, 0.534], [-3.812, 3.132, 2.202]],
  "species": ["Eu", "S", "S", "Li"],
  "fractional_positions": [[0.000, 0.000, 0.000], [0.500, 0.500, 0.000], [0.000, 0.000, 0.500], [0.500, 0.500, 0.500]]
}

---

Entry 12:
{
  "formula": "Li2EuSn",
  "functional": "GGA-PBEsol",
  "state": "optimized geometry",
  "ef_ev_per_atom": -0.5237,
  "magmom_total_mub_per_fu": 7.03,
  "cell": [[4.896, 0.000, 0.000], [2.448, 4.240, 0.000], [2.448, 1.413, 3.997]],
  "species": ["Eu", "Sn", "Li", "Li"],
  "fractional_positions": [[0.500, 0.500, 0.500], [0.000, 0.000, 0.000], [0.750, 0.750, 0.750], [0.250, 0.250, 0.250]]
}

---

Entry 13:
{
  "formula": "LiEuTl2",
  "functional": "GGA-PBEsol",
  "state": "optimized geometry",
  "ef_ev_per_atom": -0.3920,
  "magmom_total_mub_per_fu": 7.00,
  "cell": [[5.207, 0.000, 0.000], [2.603, 4.509, 0.000], [2.603, 1.503, 4.251]],
  "species": ["Eu", "Tl", "Tl", "Li"],
  "fractional_positions": [[0.500, 0.500, 0.500], [0.250, 0.250, 0.250], [0.750, 0.750, 0.750], [0.000, 0.000, 0.000]]
}

---

Entry 14:
{
  "formula": "Eu2LuTaO6",
  "functional": "GGA-PBEsol",
  "state": "optimized geometry",
  "raw_formation_energy_kj_per_mol_atoms": -305.2,
  "magmom_total_mub_per_fu": 14.00,
  "cell": [[5.793, 0.000, 0.000], [2.897, 5.017, 0.000], [2.897, 1.672, 4.730]],
  "species": ["Eu", "Eu", "Lu", "Ta", "O", "O", "O", "O", "O", "O"],
  "fractional_positions": [[0.250, 0.250, 0.250], [0.750, 0.750, 0.750], [0.500, 0.500, 0.500], [0.000, 0.000, 0.000], [0.759, 0.241, 0.241], [0.241, 0.759, 0.759], [0.759, 0.241, 0.759], [0.241, 0.759, 0.241], [0.759, 0.759, 0.241], [0.241, 0.241, 0.759]]
}

---

Entry 15:
{
  "formula": "EuLu2Se4",
  "functional": "GGA-PBEsol",
  "state": "optimized geometry",
  "raw_formation_energy_kj_per_mol_atoms": -186.1,
  "magmom_total_mub_per_fu": 6.98,
  "cell": [[-2.735, 1.232, -2.633], [-8.786, -2.184, 8.105], [1.263, 13.496, 5.005]],
  "species": ["Eu", "Eu", "Eu", "Eu", "Lu", "Lu", "Lu", "Lu", "Lu", "Lu", "Lu", "Lu", "Se", "Se", "Se", "Se", "Se", "Se", "Se", "Se", "Se", "Se", "Se", "Se", "Se", "Se", "Se", "Se"],
  "fractional_positions": [[0.250, 0.760, 0.667], [0.250, 0.260, 0.833], [0.750, 0.240, 0.333], [0.750, 0.740, 0.167], [0.250, 0.438, 0.611], [0.750, 0.084, 0.596], [0.250, 0.916, 0.404], [0.250, 0.938, 0.889], [0.250, 0.416, 0.096], [0.750, 0.584, 0.904], [0.750, 0.562, 0.389], [0.750, 0.062, 0.111], [0.250, 0.528, 0.785], [0.750, 0.972, 0.285], [0.250, 0.028, 0.715], [0.750, 0.472, 0.215], [0.250, 0.205, 0.173], [0.750, 0.868, 0.532], [0.750, 0.093, 0.922], [0.250, 0.907, 0.078], [0.250, 0.132, 0.468], [0.750, 0.593, 0.578], [0.750, 0.295, 0.673], [0.750, 0.368, 0.968], [0.250, 0.407, 0.422], [0.750, 0.795, 0.827], [0.250, 0.705, 0.327], [0.250, 0.632, 0.032]]
}

---

Entry 16:
{
  "formula": "Eu5Mg",
  "functional": "GGA-PBEsol",
  "state": "optimized geometry",
  "ef_ev_per_atom": -0.0033,
  "magmom_total_mub_per_fu": 37.63,
  "cell": [[-3.431, 1.306, 4.670], [3.891, -3.368, 3.801], [1.071, 6.234, -0.957]],
  "species": ["Eu", "Eu", "Eu", "Eu", "Eu", "Mg"],
  "fractional_positions": [[0.500, 0.667, 0.333], [0.000, 0.000, 0.678], [0.000, 0.322, 0.322], [0.000, 0.678, 0.000], [0.500, 0.333, 0.667], [0.500, 0.000, 0.000]]
}

---

Entry 17:
{
  "formula": "Eu2MgPtO6",
  "functional": "GGA-PBEsol",
  "state": "optimized geometry",
  "raw_formation_energy_kj_per_mol_atoms": -214.3,
  "magmom_total_mub_per_fu": 11.98,
  "cell": [[-2.688, 4.698, 0.505], [-4.514, -2.323, -2.423], [-2.594, -2.205, 6.945]],
  "species": ["Eu", "Eu", "Eu", "Eu", "Mg", "Mg", "Pt", "Pt", "O", "O", "O", "O", "O", "O", "O", "O", "O", "O", "O", "O"],
  "fractional_positions": [[0.986, 0.443, 0.251], [0.014, 0.557, 0.749], [0.514, 0.943, 0.249], [0.486, 0.057, 0.751], [0.000, 0.000, 0.500], [0.500, 0.500, 0.000], [0.000, 0.000, 0.000], [0.500, 0.500, 0.500], [0.096, 0.030, 0.247], [0.904, 0.970, 0.753], [0.404, 0.530, 0.253], [0.596, 0.470, 0.747], [0.807, 0.705, 0.050], [0.193, 0.295, 0.950], [0.693, 0.205, 0.450], [0.307, 0.795, 0.550], [0.701, 0.197, 0.048], [0.299, 0.803, 0.952], [0.799, 0.697, 0.452], [0.201, 0.303, 0.548]]
}

---

Entry 18:
{
  "formula": "EuMg2P2",
  "functional": "GGA-PBEsol",
  "state": "optimized geometry",
  "ef_ev_per_atom": -0.9908,
  "magmom_total_mub_per_fu": 7.00,
  "cell": [[4.240, 0.000, 0.000], [-2.120, 3.672, 0.000], [0.000, 0.000, 6.928]],
  "species": ["Eu", "P", "P", "Mg", "Mg"],
  "fractional_positions": [[0.000, 0.000, 0.000], [0.333, 0.667, 0.252], [0.667, 0.333, 0.748], [0.667, 0.333, 0.366], [0.333, 0.667, 0.634]]
}